## NaBH2 (PBE-GGA)

Data for NaBH2 after structural relaxation.

Computed properties:
Fermi-level density of states ... 0.267 states/eV per atom
Final energy ... -3.169 eV per atom
E above lowest polymorph ... 313.7 meV per atom

Unit cell a=4.0126 b=4.0126 c=5.3486 alpha=67.97 beta=67.97 gamma=90.00
Element x y z (fractional)
H1 0.3746 0.1250 0.2500
B1 0.2500 0.7500 0.5000
H2 0.3750 0.6254 0.7500
H3 0.8750 0.6246 0.7500
H4 0.3754 0.6250 0.2500
Na1 0.0000 0.0000 0.0000
Na2 0.7500 0.2500 0.5000
B2 0.5000 0.5000 0.0000